# CaSc4 (PBE-GGA, relaxed)
data_CaSc4
_chemical_formula_sum 'Ca1 Sc4'
_symmetry_space_group_name_H-M 'P 1'
_symmetry_Int_Tables_number 1
_cell_length_a 5.169
_cell_length_b 5.169
_cell_length_c 5.169
_cell_angle_alpha 90.00
_cell_angle_beta 90.00
_cell_angle_gamma 90.00
loop_
_symmetry_equiv_pos_as_xyz
'x,y,z'
loop_
_atom_site_label
_atom_site_fract_x
_atom_site_fract_y
_atom_site_fract_z
_atom_site_occupancy
Ca1 0.000 0.000 0.000 1
Sc1 0.000 0.000 0.500 1
Sc2 0.000 0.500 0.000 1
Sc3 0.500 0.000 0.000 1
Sc4 0.500 0.500 0.500 1
# SG	No. 221
# uncorrected energy	-4.453	eV per atom
# M_tot	0.00	μB per formula unit
# distance to the lowest polymorph of the same formula	0.836	eV per atom

# AgRh2Se (PBE-GGA, relaxed)
data_AgRh2Se
_chemical_formula_sum 'Ag4 Rh8 Se4'
_symmetry_space_group_name_H-M 'P 1'
_symmetry_Int_Tables_number 1
_cell_length_a 7.084
_cell_length_b 7.084
_cell_length_c 5.497
_cell_angle_alpha 90.00
_cell_angle_beta 90.00
_cell_angle_gamma 90.00
loop_
_symmetry_equiv_pos_as_xyz
'x,y,z'
loop_
_atom_site_label
_atom_site_fract_x
_atom_site_fract_y
_atom_site_fract_z
_atom_site_occupancy
Ag1 0.000 0.000 0.000 1
Ag2 0.000 0.500 0.250 1
Ag3 0.500 0.000 0.750 1
Ag4 0.500 0.500 0.500 1
Rh1 0.198 0.250 0.625 1
Rh2 0.250 0.698 0.875 1
Rh3 0.250 0.802 0.375 1
Rh4 0.302 0.250 0.125 1
Rh5 0.698 0.750 0.125 1
Rh6 0.750 0.198 0.375 1
Rh7 0.750 0.302 0.875 1
Rh8 0.802 0.750 0.625 1
Se1 0.000 0.000 0.500 1
Se2 0.000 0.500 0.750 1
Se3 0.500 0.000 0.250 1
Se4 0.500 0.500 0.000 1
# E_form (uncorrected)	0.2087	eV/atom
# SG	No. 122
# uncorrected energy	-5.051	eV per atom
# M_tot	0.00	μB per formula unit

# CeDy4In5 (PBE-GGA, relaxed)
data_CeDy4In5
_chemical_formula_sum 'Ce1 Dy4 In5'
_symmetry_space_group_name_H-M 'P 1'
_symmetry_Int_Tables_number 1
_cell_length_a 3.578
_cell_length_b 3.578
_cell_length_c 21.013
_cell_angle_alpha 90.00
_cell_angle_beta 90.00
_cell_angle_gamma 90.00
loop_
_symmetry_equiv_pos_as_xyz
'x,y,z'
loop_
_atom_site_label
_atom_site_fract_x
_atom_site_fract_y
_atom_site_fract_z
_atom_site_occupancy
Ce1 0.000 0.000 0.000 1
Dy1 0.000 0.000 0.204 1
Dy2 0.000 0.000 0.401 1
Dy3 0.000 0.000 0.599 1
Dy4 0.000 0.000 0.796 1
In1 0.500 0.500 0.105 1
In2 0.500 0.500 0.303 1
In3 0.500 0.500 0.500 1
In4 0.500 0.500 0.697 1
In5 0.500 0.500 0.895 1
# SG	No. 123
# uncorrected energy	-4.245	eV per atom
# M_tot	0.99	μB per formula unit

# ScNiSb (PBE-GGA, relaxed)
data_ScNiSb
_chemical_formula_sum 'Sc1 Ni1 Sb1'
_symmetry_space_group_name_H-M 'P 1'
_symmetry_Int_Tables_number 1
_cell_length_a 4.283
_cell_length_b 4.283
_cell_length_c 3.530
_cell_angle_alpha 90.00
_cell_angle_beta 90.00
_cell_angle_gamma 120.00
loop_
_symmetry_equiv_pos_as_xyz
'x,y,z'
loop_
_atom_site_label
_atom_site_fract_x
_atom_site_fract_y
_atom_site_fract_z
_atom_site_occupancy
Sc1 0.000 0.000 0.000 1
Ni1 0.667 0.333 0.500 1
Sb1 0.333 0.667 0.500 1
# E_form (uncorrected)	-0.6593	eV/atom
# SG	No. 187
# uncorrected energy	-6.071	eV per atom
# M_tot	0.00	μB per formula unit

# MnTe2Os (PBE-GGA, relaxed)
data_MnTe2Os
_chemical_formula_sum 'Mn1 Te2 Os1'
_symmetry_space_group_name_H-M 'P 1'
_symmetry_Int_Tables_number 1
_cell_length_a 3.444
_cell_length_b 3.444
_cell_length_c 7.700
_cell_angle_alpha 90.00
_cell_angle_beta 90.00
_cell_angle_gamma 90.00
loop_
_symmetry_equiv_pos_as_xyz
'x,y,z'
loop_
_atom_site_label
_atom_site_fract_x
_atom_site_fract_y
_atom_site_fract_z
_atom_site_occupancy
Mn1 0.000 0.000 0.000 1
Te1 0.000 0.000 0.363 1
Te2 0.500 0.500 0.830 1
Os1 0.500 0.500 0.184 1
# E_form (uncorrected)	0.2733	eV/atom
# SG	No. 99
# uncorrected energy	-6.397	eV per atom
# M_tot	4.44	μB per formula unit
# distance to the lowest polymorph of the same formula	0.192	eV per atom

# Rb2Tl6SnPb (PBE-GGA, relaxed)
data_Rb2Tl6SnPb
_chemical_formula_sum 'Rb4 Tl12 Sn2 Pb2'
_symmetry_space_group_name_H-M 'P 1'
_symmetry_Int_Tables_number 1
_cell_length_a 15.054
_cell_length_b 15.054
_cell_length_c 15.054
_cell_angle_alpha 31.13
_cell_angle_beta 31.13
_cell_angle_gamma 31.13
loop_
_symmetry_equiv_pos_as_xyz
'x,y,z'
loop_
_atom_site_label
_atom_site_fract_x
_atom_site_fract_y
_atom_site_fract_z
_atom_site_occupancy
Rb1 0.102 0.102 0.102 1
Rb2 0.279 0.279 0.279 1
Rb3 0.721 0.721 0.721 1
Rb4 0.898 0.898 0.898 1
Tl1 0.076 0.664 0.664 1
Tl2 0.226 0.226 0.628 1
Tl3 0.226 0.628 0.226 1
Tl4 0.336 0.336 0.924 1
Tl5 0.336 0.924 0.336 1
Tl6 0.372 0.774 0.774 1
Tl7 0.628 0.226 0.226 1
Tl8 0.664 0.076 0.664 1
Tl9 0.664 0.664 0.076 1
Tl10 0.774 0.372 0.774 1
Tl11 0.774 0.774 0.372 1
Tl12 0.924 0.336 0.336 1
Sn1 0.000 0.000 0.000 1
Sn2 0.500 0.500 0.500 1
Pb1 0.424 0.424 0.424 1
Pb2 0.576 0.576 0.576 1
# SG	No. 166
# uncorrected energy	-2.371	eV per atom
# M_tot	0.00	μB per formula unit

# TbCe2PaTc2 (PBE-GGA, relaxed)
data_TbCe2PaTc2
_chemical_formula_sum 'Tb2 Ce4 Pa2 Tc4'
_symmetry_space_group_name_H-M 'P 1'
_symmetry_Int_Tables_number 1
_cell_length_a 4.213
_cell_length_b 9.623
_cell_length_c 7.039
_cell_angle_alpha 90.00
_cell_angle_beta 90.00
_cell_angle_gamma 90.00
loop_
_symmetry_equiv_pos_as_xyz
'x,y,z'
loop_
_atom_site_label
_atom_site_fract_x
_atom_site_fract_y
_atom_site_fract_z
_atom_site_occupancy
Tb1 0.000 0.060 0.000 1
Tb2 0.000 0.940 0.500 1
Ce1 0.000 0.339 0.302 1
Ce2 0.000 0.661 0.802 1
Ce3 0.500 0.419 0.045 1
Ce4 0.500 0.581 0.545 1
Pa1 0.500 0.208 0.639 1
Pa2 0.500 0.792 0.139 1
Tc1 0.000 0.334 0.771 1
Tc2 0.000 0.666 0.271 1
Tc3 0.500 0.127 0.312 1
Tc4 0.500 0.873 0.812 1
# SG	No. 26
# uncorrected energy	-7.895	eV per atom
# M_tot	0.00	μB per formula unit

# ScInCl2 (PBE-GGA, relaxed)
data_ScInCl2
_chemical_formula_sum 'Sc2 In2 Cl4'
_symmetry_space_group_name_H-M 'P 1'
_symmetry_Int_Tables_number 1
_cell_length_a 4.047
_cell_length_b 4.047
_cell_length_c 11.370
_cell_angle_alpha 90.00
_cell_angle_beta 90.00
_cell_angle_gamma 90.00
loop_
_symmetry_equiv_pos_as_xyz
'x,y,z'
loop_
_atom_site_label
_atom_site_fract_x
_atom_site_fract_y
_atom_site_fract_z
_atom_site_occupancy
Sc1 0.000 0.000 0.000 1
Sc2 0.500 0.500 0.500 1
In1 0.000 0.500 0.250 1
In2 0.500 0.000 0.750 1
Cl1 0.000 0.000 0.500 1
Cl2 0.000 0.500 0.750 1
Cl3 0.500 0.000 0.250 1
Cl4 0.500 0.500 0.000 1
# E_form (uncorrected)	-0.6912	eV/atom
# SG	No. 119
# uncorrected energy	-3.882	eV per atom
# M_tot	0.00	μB per formula unit
# distance to the lowest polymorph of the same formula	0.579	eV per atom